# CdFeO3 (PBE+U, optimized geometry)
# Total magnetic moment ... 0.80 μB/atom
# E ... -106.09 eV/cell
# Crystal system ... orthorhombic
data_CdFeO3
_chemical_formula_sum 'Cd4 Fe4 O12'
_space_group_name_H-M_alt 'P n m a'
_space_group_IT_number 62
_cell_length_a 5.450
_cell_length_b 7.666
_cell_length_c 5.360
_cell_angle_alpha 90.00
_cell_angle_beta 90.00
_cell_angle_gamma 90.00
loop_
_space_group_symop_operation_xyz
'x,y,z'
'-x,-y,-z'
'-x+1/2,-y,z+1/2'
'x+1/2,y,-z+1/2'
'x+1/2,-y+1/2,-z+1/2'
'-x+1/2,y+1/2,z+1/2'
'-x,y+1/2,-z'
'x,-y+1/2,z'
loop_
_atom_site_label
_atom_site_type_symbol
_atom_site_fract_x
_atom_site_fract_y
_atom_site_fract_z
Cd1 Cd 0.042 0.250 0.010
Fe1 Fe 0.000 0.000 0.500
O1 O 0.032 0.750 0.407
O2 O 0.207 0.549 0.798